# 1
A geometry-optimized SrSeO2F structure. Source: the Alexandria database, functional PBE-GGA.

The mass density is 4.7 g/cm³. The value obtained for the magnetization is 0.00 μB per cell. Its formation energy without anion corrections is -7.908 eV per formula unit.

The structure belongs to space group P4/mmm (No. 123); the cell edges are 3.972, 3.972 and 4.878 Å and the angles 90.00°, 90.00° and 90.00°. The distinct sites, in fractional coordinates, are Sr at (0.000, 0.000, 0.000), Se at (0.500, 0.500, 0.500), O at (0.000, 0.500, 0.500) and F at (0.500, 0.500, 0.000).



# 2
A geometry-optimized Tb2SeOF2 structure. Source: the Alexandria database, functional PBE-GGA.

The mass density is 7.6 g/cm³. The value obtained for the magnetization is 0.00 μB per cell. Its formation energy without anion corrections is -20.455 eV per formula unit.

The structure belongs to space group P6_3/m (No. 176); the cell edges are 13.4951, 13.4951 and 3.7613 Å and the angles 90.00°, 90.00° and 120.00°. The distinct sites, in fractional coordinates, are Tb at (0.0554, 0.7655, 0.2500), Tb at (0.1171, 0.5147, 0.2500), Se at (0.2065, 0.7185, 0.7500), O at (0.0143, 0.4270, 0.7500), F at (0.0668, 0.3155, 0.2500) and F at (0.1019, 0.8929, 0.7500).



# 3
A geometry-optimized TeSeO2F structure. Source: the Alexandria database, functional PBE-GGA.

The mass density is 5.3 g/cm³. The value obtained for the magnetization is 2.79 μB per cell. Its formation energy without anion corrections is -1.564 eV per formula unit.

The structure belongs to space group P4/mmm (No. 123); the cell edges are 4.194, 4.194 and 4.555 Å and the angles 90.00°, 90.00° and 90.00°. The distinct sites, in fractional coordinates, are Te at (0.000, 0.000, 0.000), Se at (0.500, 0.500, 0.500), O at (0.000, 0.500, 0.000) and F at (0.000, 0.000, 0.500).



# 4
A geometry-optimized TeSe2O3F6 structure. Source: the Alexandria database, functional PBE-GGA.

The mass density is 3.6 g/cm³. The value obtained for the magnetization is 0.00 μB per cell. Its formation energy without anion corrections is -16.324 eV per formula unit.

The structure belongs to space group C2/m (No. 12); the cell edges are 9.765, 5.645 and 7.491 Å and the angles 90.00°, 90.04° and 90.00°. The distinct sites, in fractional coordinates, are Te at (0.000, 0.000, 0.000), Se at (0.167, 0.500, 0.387), O at (0.000, 0.500, 0.500), O at (0.250, 0.250, 0.500), F at (0.084, 0.250, 0.167) and F at (0.165, 0.000, 0.830).



# 5
A geometry-optimized TeSeO2F structure. Source: the Alexandria database, functional PBE-GGA.

The mass density is 5.0 g/cm³. The value obtained for the magnetization is 0.00 μB per cell. Its formation energy without anion corrections is -0.564 eV per formula unit.

The structure belongs to space group P4/mmm (No. 123); the cell edges are 3.723, 3.723 and 6.208 Å and the angles 90.00°, 90.00° and 90.00°. The distinct sites, in fractional coordinates, are Te at (0.000, 0.000, 0.000), Se at (0.500, 0.500, 0.500), O at (0.000, 0.500, 0.500) and F at (0.500, 0.500, 0.000).



# 6
A geometry-optimized TiSeOF2 structure. Source: the Alexandria database, functional PBE-GGA.

The mass density is 4.5 g/cm³. The value obtained for the magnetization is 2.44 μB per cell. Its formation energy without anion corrections is -8.909 eV per formula unit. The calculation puts the energy relative to the lowest polymorph listed for this composition at 0 meV/atom.

The structure belongs to space group P4/mmm (No. 123); the cell edges are 4.200, 4.200 and 3.824 Å and the angles 90.00°, 90.00° and 90.00°. The distinct sites, in fractional coordinates, are Ti at (0.000, 0.000, 0.000), Se at (0.500, 0.500, 0.500), O at (0.000, 0.000, 0.500) and F at (0.000, 0.500, 0.000).



# 7
A geometry-optimized TiSeOF2 structure. Source: the Alexandria database, functional PBE-GGA.

The mass density is 3.7 g/cm³. The value obtained for the magnetization is 0.44 μB per cell. Its formation energy without anion corrections is -1.936 eV per formula unit. The calculation puts the energy relative to the lowest polymorph listed for this composition at 1395 meV/atom.

The structure belongs to space group P4/mmm (No. 123); the cell edges are 4.616, 4.616 and 3.801 Å and the angles 90.00°, 90.00° and 90.00°. The distinct sites, in fractional coordinates, are Ti at (0.000, 0.000, 0.000), Se at (0.500, 0.500, 0.500), O at (0.500, 0.500, 0.000) and F at (0.000, 0.500, 0.500).



# 8
A geometry-optimized TlSeOF2 structure. Source: the Alexandria database, functional PBE-GGA.

The mass density is 6.3 g/cm³. The value obtained for the magnetization is 2.99 μB per cell. Its formation energy without anion corrections is -2.542 eV per formula unit. The calculation puts the energy relative to the lowest polymorph listed for this composition at 556 meV/atom.

The structure belongs to space group P4/mmm (No. 123); the cell edges are 4.574, 4.574 and 4.229 Å and the angles 90.00°, 90.00° and 90.00°. The distinct sites, in fractional coordinates, are Tl at (0.000, 0.000, 0.000), Se at (0.500, 0.500, 0.500), O at (0.000, 0.000, 0.500) and F at (0.000, 0.500, 0.000).



# 9
A geometry-optimized TlSeOF2 structure. Source: the Alexandria database, functional PBE-GGA.

The mass density is 6.7 g/cm³. The value obtained for the magnetization is 0.00 μB per cell. Its formation energy without anion corrections is -5.320 eV per formula unit. The calculation puts the energy relative to the lowest polymorph listed for this composition at 0 meV/atom.

The structure belongs to space group P4/mmm (No. 123); the cell edges are 4.687, 4.687 and 3.824 Å and the angles 90.00°, 90.00° and 90.00°. The distinct sites, in fractional coordinates, are Tl at (0.000, 0.000, 0.000), Se at (0.500, 0.500, 0.500), O at (0.500, 0.500, 0.000) and F at (0.000, 0.500, 0.500).



# 10
A geometry-optimized TmSeO4F structure. Source: the Alexandria database, functional PBE-GGA.

The mass density is 5.3 g/cm³. The value obtained for the magnetization is 0.00 μB per cell. Its formation energy without anion corrections is -14.517 eV per formula unit.

The structure belongs to space group C2/m (No. 12); the cell edges are 9.068, 7.081 and 6.685 Å and the angles 90.00°, 106.40° and 90.00°. The distinct sites, in fractional coordinates, are Tm at (0.204, 0.000, 0.116), Se at (0.150, 0.500, 0.282), O at (0.034, 0.500, 0.734), O at (0.196, 0.321, 0.143), O at (0.238, 0.000, 0.477) and F at (0.020, 0.000, 0.827).



# 11
A geometry-optimized USeO5F structure. Source: the Alexandria database, functional PBE-GGA.

The mass density is 5.6 g/cm³. The value obtained for the magnetization is 3.27 μB per cell. Its formation energy without anion corrections is -14.290 eV per formula unit.

The structure belongs to space group C2/c (No. 15); the cell edges are 8.018, 8.011 and 8.221 Å and the angles 90.00°, 111.01° and 90.00°. The distinct sites, in fractional coordinates, are U at (0.000, 0.000, 0.000), Se at (0.000, 0.389, 0.250), O at (0.000, 0.040, 0.750), O at (0.066, 0.263, 0.114), O at (0.249, 0.075, 0.580) and F at (0.000, 0.367, 0.750).